The following is a DFT calculation (GGA-PBE) of crystalline BeRe2Os at its relaxed geometry.

Unit cell a=2.730 b=3.924 c=5.224 alpha=90.00 beta=105.05 gamma=90.00
Space group Pm (No. 6)
Inequivalent atoms, fractional coordinates:
Be: 0.000 0.000 0.000 x1
Re: 0.406 0.500 0.811 x1
Re: 0.750 0.000 0.511 x1
Os: 0.128 0.500 0.268 x1

Formation energy from the elements, meV/atom: 81
Magnetic moment, μB per cell: 0.0
Fermi-level density of states, states/eV/atom: 0.9916

***

The following is a DFT calculation (GGA-PBE) of crystalline BeRe2Os at its relaxed geometry.

Unit cell a=2.766 b=3.799 c=5.208 alpha=90.00 beta=90.00 gamma=90.00
Space group Pmm2 (No. 25)
Inequivalent atoms, fractional coordinates:
Be: 0.000 0.000 0.000 x1
Re: 0.000 0.000 0.496 x1
Re: 0.500 0.500 0.756 x1
Os: 0.500 0.500 0.222 x1

Formation energy from the elements, meV/atom: 104
Magnetic moment, μB per cell: 0.0
Fermi-level density of states, states/eV/atom: 0.7399

***

The following is a DFT calculation (GGA-PBE) of crystalline BeReOs4 at its relaxed geometry.

Unit cell a=7.172 b=7.172 c=7.172 alpha=90.00 beta=90.00 gamma=90.00
Space group F-43m (No. 216)
Inequivalent atoms, fractional coordinates:
Be: 0.000 0.000 0.000 x4
Re: 0.250 0.250 0.250 x4
Os: 0.125 0.125 0.625 x16

Formation energy from the elements, meV/atom: 872
Magnetic moment, μB per cell: 0.0
Fermi-level density of states, states/eV/atom: 1.4953

***

The following is a DFT calculation (GGA-PBE) of crystalline BeRe2Os at its relaxed geometry.

Unit cell a=2.728 b=3.899 c=5.130 alpha=90.00 beta=94.16 gamma=90.00
Space group P2/m (No. 10)
Inequivalent atoms, fractional coordinates:
Be: 0.000 0.000 0.000 x1
Re: 0.464 0.500 0.236 x2
Os: 0.000 0.000 0.500 x1

Formation energy from the elements, meV/atom: 77
Magnetic moment, μB per cell: 0.0
Fermi-level density of states, states/eV/atom: 0.6022

***

The following is a DFT calculation (GGA-PBE) of crystalline BeRe2Os at its relaxed geometry.

Unit cell a=3.728 b=3.728 c=3.946 alpha=90.00 beta=90.00 gamma=90.00
Space group P4/mmm (No. 123)
Inequivalent atoms, fractional coordinates:
Be: 0.000 0.000 0.000 x1
Re: 0.000 0.500 0.500 x2
Os: 0.500 0.500 0.000 x1

Formation energy from the elements, meV/atom: 325
Magnetic moment, μB per cell: 0.0
Fermi-level density of states, states/eV/atom: 0.8105

***

The following is a DFT calculation (GGA-PBE) of crystalline Be2ReTeOs at its relaxed geometry.

Unit cell a=4.225 b=4.225 c=4.987 alpha=90.00 beta=90.00 gamma=90.00
Space group P4/mmm (No. 123)
Inequivalent atoms, fractional coordinates:
Be: 0.000 0.500 0.000 x2
Re: 0.000 0.000 0.000 x1
Te: 0.000 0.000 0.500 x1
Os: 0.500 0.500 0.500 x1

Excess energy over the best structure of this formula in the dataset, meV/atom: 376.9
Magnetic moment, μB per cell: 1.5
Fermi-level density of states, states/eV/atom: 0.9380

***

The following is a DFT calculation (GGA-PBE) of crystalline Be2ReTeOs at its relaxed geometry.

Unit cell a=4.327 b=4.327 c=4.802 alpha=90.00 beta=90.00 gamma=90.00
Space group P4/mmm (No. 123)
Inequivalent atoms, fractional coordinates:
Be: 0.000 0.500 0.000 x2
Re: 0.000 0.000 0.000 x1
Te: 0.500 0.500 0.500 x1
Os: 0.000 0.000 0.500 x1

Excess energy over the best structure of this formula in the dataset, meV/atom: 0.0
Magnetic moment, μB per cell: 0.0
Fermi-level density of states, states/eV/atom: 0.8302

***

The following is a DFT calculation (GGA-PBE) of crystalline BeReOsW at its relaxed geometry.

Unit cell a=6.066 b=6.066 c=6.066 alpha=90.00 beta=90.00 gamma=90.00
Space group F-43m (No. 216)
Inequivalent atoms, fractional coordinates:
Be: 0.000 0.000 0.000 x4
Re: 0.250 0.250 0.250 x4
Os: 0.250 0.250 0.750 x4
W: 0.000 0.000 0.500 x4

Formation energy from the elements, meV/atom: 36
Magnetic moment, μB per cell: 0.0
Fermi-level density of states, states/eV/atom: 0.5831

***

The following is a DFT calculation (GGA-PBE) of crystalline Be2Os2Rh at its relaxed geometry.

Unit cell a=5.605 b=5.605 c=3.670 alpha=90.00 beta=90.00 gamma=90.00
Space group P4/mbm (No. 127)
Inequivalent atoms, fractional coordinates:
Be: 0.128 0.372 0.000 x4
Os: 0.172 0.672 0.500 x4
Rh: 0.000 0.000 0.000 x2

Formation energy from the elements, meV/atom: -102
Excess energy over the best structure of this formula in the dataset, meV/atom: 0.0
Magnetic moment, μB per cell: 0.0
Fermi-level density of states, states/eV/atom: 1.0597

***

The following is a DFT calculation (GGA-PBE) of crystalline BeOsRh2 at its relaxed geometry.

Unit cell a=2.741 b=4.598 c=8.389 alpha=90.00 beta=90.00 gamma=90.00
Space group Cmm2 (No. 35)
Inequivalent atoms, fractional coordinates:
Be: 0.000 0.000 0.000 x2
Os: 0.000 0.500 0.231 x2
Rh: 0.000 0.000 0.504 x2
Rh: 0.000 0.500 0.787 x2

Formation energy from the elements, meV/atom: 140
Magnetic moment, μB per cell: 0.0
Fermi-level density of states, states/eV/atom: 1.0147

***

The following is a DFT calculation (GGA-PBE) of crystalline BeOsRh2 at its relaxed geometry.

Unit cell a=2.739 b=4.599 c=8.340 alpha=90.00 beta=90.00 gamma=90.00
Space group Cmmm (No. 65)
Inequivalent atoms, fractional coordinates:
Be: 0.000 0.000 0.000 x2
Os: 0.000 0.000 0.500 x2
Rh: 0.000 0.500 0.219 x4

Formation energy from the elements, meV/atom: 107
Magnetic moment, μB per cell: 0.0
Fermi-level density of states, states/eV/atom: 0.8670

***

The following is a DFT calculation (GGA-PBE) of crystalline BeOsRh2 at its relaxed geometry.

Unit cell a=2.703 b=3.869 c=5.075 alpha=90.00 beta=101.96 gamma=90.00
Space group P2/m (No. 10)
Inequivalent atoms, fractional coordinates:
Be: 0.000 0.000 0.000 x1
Os: 0.000 0.000 0.500 x1
Rh: 0.387 0.500 0.237 x2

Formation energy from the elements, meV/atom: -38
Magnetic moment, μB per cell: 0.0
Fermi-level density of states, states/eV/atom: 1.1356

***

The following is a DFT calculation (GGA-PBE) of crystalline Be2OsRh at its relaxed geometry.

Unit cell a=2.879 b=4.452 c=7.264 alpha=90.00 beta=90.00 gamma=90.00
Space group Cmmm (No. 65)
Inequivalent atoms, fractional coordinates:
Be: 0.000 0.000 0.245 x4
Os: 0.000 0.500 0.500 x2
Rh: 0.000 0.500 0.000 x2

Formation energy from the elements, meV/atom: -119
Excess energy over the best structure of this formula in the dataset, meV/atom: 188.0
Magnetic moment, μB per cell: 0.0
Fermi-level density of states, states/eV/atom: 0.7162

***

The following is a DFT calculation (GGA-PBE) of crystalline BeOsRh2 at its relaxed geometry.

Unit cell a=3.745 b=3.745 c=7.464 alpha=90.00 beta=90.00 gamma=90.00
Space group I4/mmm (No. 139)
Inequivalent atoms, fractional coordinates:
Be: 0.000 0.000 0.000 x2
Os: 0.000 0.000 0.500 x2
Rh: 0.000 0.500 0.250 x4

Formation energy from the elements, meV/atom: -8
Magnetic moment, μB per cell: 1.2
Fermi-level density of states, states/eV/atom: 1.0702

***

The following is a DFT calculation (GGA-PBE) of crystalline BeOsRh2 at its relaxed geometry.

Unit cell a=2.762 b=4.290 c=8.592 alpha=90.00 beta=90.00 gamma=90.00
Space group Imm2 (No. 44)
Inequivalent atoms, fractional coordinates:
Be: 0.000 0.000 0.000 x2
Os: 0.000 0.500 0.721 x2
Rh: 0.000 0.000 0.497 x2
Rh: 0.000 0.500 0.289 x2

Formation energy from the elements, meV/atom: -116
Magnetic moment, μB per cell: 0.0
Fermi-level density of states, states/eV/atom: 0.7368

***

The following is a DFT calculation (GGA-PBE) of crystalline BeOs3Rh at its relaxed geometry.

Unit cell a=4.080 b=4.080 c=4.080 alpha=90.00 beta=90.00 gamma=90.00
Space group Pm-3m (No. 221)
Inequivalent atoms, fractional coordinates:
Be: 0.000 0.000 0.000 x1
Os: 0.000 0.000 0.500 x3
Rh: 0.500 0.500 0.500 x1

Formation energy from the elements, meV/atom: 711
Excess energy over the best structure of this formula in the dataset, meV/atom: 0.0
Magnetic moment, μB per cell: 0.0
Fermi-level density of states, states/eV/atom: 0.7856

***

The following is a DFT calculation (GGA-PBE) of crystalline BeOsRh2 at its relaxed geometry.

Unit cell a=3.806 b=3.806 c=3.652 alpha=90.00 beta=90.00 gamma=90.00
Space group P4/mmm (No. 123)
Inequivalent atoms, fractional coordinates:
Be: 0.000 0.000 0.000 x1
Os: 0.500 0.500 0.000 x1
Rh: 0.000 0.500 0.500 x2

Formation energy from the elements, meV/atom: 149
Magnetic moment, μB per cell: 0.0
Fermi-level density of states, states/eV/atom: 1.6241

***

The following is a DFT calculation (GGA-PBE) of crystalline BeOsRh2 at its relaxed geometry.

Unit cell a=5.300 b=7.418 c=2.692 alpha=90.00 beta=90.00 gamma=90.00
Space group Cmmm (No. 65)
Inequivalent atoms, fractional coordinates:
Be: 0.000 0.000 0.000 x2
Os: 0.000 0.500 0.000 x2
Rh: 0.250 0.250 0.500 x4

Formation energy from the elements, meV/atom: -17
Magnetic moment, μB per cell: 0.0
Fermi-level density of states, states/eV/atom: 0.8271

***

The following is a DFT calculation (GGA-PBE) of crystalline Be2OsRh at its relaxed geometry.

Unit cell a=5.950 b=5.950 c=5.332 alpha=90.00 beta=90.00 gamma=90.00
Space group I-42d (No. 122)
Inequivalent atoms, fractional coordinates:
Be: 0.243 0.750 0.125 x8
Os: 0.000 0.000 0.500 x4
Rh: 0.000 0.000 0.000 x4

Formation energy from the elements, meV/atom: 206
Excess energy over the best structure of this formula in the dataset, meV/atom: 513.2
Magnetic moment, μB per cell: 0.0
Fermi-level density of states, states/eV/atom: 0.9230

***

The following is a DFT calculation (GGA-PBE) of crystalline BeOs4Rh at its relaxed geometry.

Unit cell a=7.194 b=7.194 c=7.194 alpha=90.00 beta=90.00 gamma=90.00
Space group F-43m (No. 216)
Inequivalent atoms, fractional coordinates:
Be: 0.000 0.000 0.000 x4
Os: 0.125 0.125 0.625 x16
Rh: 0.250 0.250 0.250 x4

Formation energy from the elements, meV/atom: 885
Magnetic moment, μB per cell: 0.0
Fermi-level density of states, states/eV/atom: 1.3189